1.
Here is Pm3PrY6Sc2 after structural relaxation from Alexandria via LeMat-Bulk. Energies are from PBE-GGA.

Cell and atoms, written as extended XYZ:
```
12
Lattice="3.0779 -5.3283 0.0000 3.0779 5.3283 0.0000 -2.0414 0.0000 11.5897" Properties=species:S:1:pos:R:3 pbc="T T T"
Pm 0.0000 0.0000 0.0000
Pm 3.0779 1.7813 0.0000
Pm 3.0779 -1.7813 0.0000
Pr 2.0572 0.0000 5.7949
Y 1.0144 1.7920 2.9635
Y -0.0088 0.0000 8.6274
Y 1.0144 -1.7920 2.9635
Y 3.1000 1.7920 8.6262
Y 4.1232 0.0000 2.9623
Y 3.1000 -1.7920 8.6262
Sc 2.0572 3.5522 5.7949
Sc 2.0572 -3.5522 5.7949
```

Output
- E_tot (eV per atom) = -5.833
- symmetry = C2/m, No. 12
- mass density (g/cm3) = 5.239
- total magnetic moment (μB per formula unit) = 0.0
- Fermi-level density of states (states/eV/atom) = 1.471

***

2.
Here is CsInSe2 after structural relaxation from Alexandria via LeMat-Bulk. Energies are from PBE-GGA.

Cell and atoms, written as extended XYZ:
```
16
Lattice="7.3927 0.0000 0.0000 0.0000 3.7881 0.0000 0.0000 0.0000 19.1480" Properties=species:S:1:pos:R:3 pbc="T T T"
Cs 1.8513 0.9470 1.5975
Cs 1.8451 2.8411 11.1715
Cs 5.5477 0.9470 7.9765
Cs 5.5415 2.8411 17.5505
In 1.8433 0.9470 15.6613
In 1.8530 2.8411 6.0873
In 5.5397 0.9470 13.0607
In 5.5494 2.8411 3.4867
Se 0.0036 0.9470 4.7867
Se 7.3891 2.8411 14.3613
Se 1.8512 0.9470 8.0571
Se 1.8452 2.8411 17.6312
Se 3.7000 0.9470 4.7873
Se 3.6928 2.8411 14.3607
Se 5.5476 0.9470 1.5169
Se 5.5415 2.8411 11.0909
```

Output
- E_tot (eV per atom) = -3.304
- symmetry = Pnma, No. 62
- formation energy from raw total energies (eV per formula unit) = -2.65
- mass density (g/cm3) = 5.025
- total magnetic moment (μB per formula unit) = 0.0
- Fermi-level density of states (states/eV/atom) = 0.320

***

- What is the formula in the first record?
  Pm3PrY6Sc2